Material: KGaHg3
Method: DFT, PBE
State: optimized geometry

```
KGaHg3
1.0
0.000 3.763 5.188
3.746 0.000 5.188
3.746 3.763 0.000
K Ga Hg
1 1 3
Direct
0.000 0.000 0.000
0.345 0.345 0.655
0.262 0.262 0.238
0.610 0.610 0.390
0.762 0.762 0.738
```

Values from the calculation:
- ΔH_f (0 K): -0.168 eV/atom
- D(E_F): 1.2 states/eV/cell
- Relative energy among the computed polymorphs: 0 meV per atom
- Final energy: -1.174 eV/atom